# 1
Ti8CuBi2 | PBE | relaxed

Properties
**Calculated formation energy**: -0.07 eV/atom
**Total DFT energy (no corrections)**: -6.89 eV per atom
**Space group**: C2/m (12)

The structure in POSCAR format:
```
Ti8CuBi2
1.0
4.644 0.000 0.000
0.000 5.468 0.799
-2.322 -1.065 7.662
Ti Cu Bi
8 1 2
Direct
0.418 0.430 0.836
0.660 0.135 0.321
0.770 0.653 0.540
0.044 0.276 0.087
0.230 0.347 0.460
0.340 0.865 0.679
0.582 0.570 0.164
0.956 0.724 0.913
0.500 0.000 0.000
0.849 0.179 0.697
0.151 0.821 0.303
```


# 2
TiCuBi | PBE | relaxed

Properties
**Calculated formation energy**: 0.09 eV/atom
**Total DFT energy (no corrections)**: -5.20 eV per atom
**Space group**: P-1 (2)

The structure in POSCAR format:
```
TiCuBi
1.0
3.864 -0.011 0.010
-0.238 4.717 -0.005
-1.517 -1.067 6.396
Bi Cu Ti
2 2 2
Direct
0.595 0.814 0.711
0.405 0.186 0.289
0.275 0.661 0.039
0.725 0.339 0.961
0.931 0.691 0.352
0.069 0.309 0.648
```


What did the first record say?
Ti8CuBi2 | PBE | relaxed

Properties
**Calculated formation energy**: -0.07 eV/atom
**Total DFT energy (no corrections)**: -6.89 eV per atom
**Space group**: C2/m (12)

The structure in POSCAR format:
```
Ti8CuBi2
1.0
4.644 0.000 0.000
0.000 5.468 0.799
-2.322 -1.065 7.662
Ti Cu Bi
8 1 2
Direct
0.418 0.430 0.836
0.660 0.135 0.321
0.770 0.653 0.540
0.044 0.276 0.087
0.230 0.347 0.460
0.340 0.865 0.679
0.582 0.570 0.164
0.956 0.724 0.913
0.500 0.000 0.000
0.849 0.179 0.697
0.151 0.821 0.303
```